Computed, not measured: Co2NO after structural relaxation at the GGA+U level of DFT.

abc: 5.260 5.260 5.260
angles: 90.00 90.00 90.00
Space group Fm-3m (No. 225)
Symmetry-distinct sites (fractional):
Co 0.250 0.250 0.250 [8 per cell]
N 0.000 0.000 0.000 [4 per cell]
O 0.000 0.000 0.500 [4 per cell]

Properties
* energy above the lowest structure with this stoichiometry: 12.232 kcal/mol of atoms
* total moment: 5.00 μB per formula unit